[1]
{"formula": "CeTm2HfP4", "functional": "PBE", "state": "relaxed", "total_magnetization_mub_per_cell": 0.269, "sg": "P2/m", "e_form_ev_per_atom": -1.481, "lattice_angstrom": [[3.9096, 0.0000, 0.0000], [0.0000, 6.7763, 0.1295], [0.0000, -2.3569, 6.3377]], "species": ["P", "P", "P", "P", "Tm", "Tm", "Hf", "Ce"], "frac_coords": [[0.5000, 0.2615, 0.2493], [0.0000, 0.7368, 0.2412], [0.5000, 0.7385, 0.7507], [0.0000, 0.2632, 0.7588], [0.0000, 0.5000, 0.5000], [0.5000, 0.0000, 0.5000], [0.5000, 0.5000, 0.0000], [0.0000, 0.0000, 0.0000]]}

[2]
{"formula": "CeHfU2P4", "functional": "PBE", "state": "relaxed", "total_magnetization_mub_per_cell": 4.426, "sg": "P2/m", "e_form_ev_per_atom": -1.175, "lattice_angstrom": [[-3.7950, 0.0336, 0.8187], [0.1627, -6.6703, 1.0276], [1.2982, 3.1843, 5.8870]], "species": ["U", "U", "Ce", "Hf", "P", "P", "P", "P"], "frac_coords": [[0.0000, 0.5000, 0.5000], [0.5000, 0.0000, 0.5000], [0.0000, 0.0000, 0.0000], [0.5000, 0.5000, 0.0000], [0.5000, 0.2634, 0.2500], [0.0000, 0.2645, 0.7579], [0.0000, 0.7355, 0.2421], [0.5000, 0.7366, 0.7500]]}

[3]
{"formula": "CeY2HfP4", "functional": "PBE", "state": "relaxed", "total_magnetization_mub_per_cell": 0.298, "sg": "P2/m", "e_form_ev_per_atom": -1.493, "lattice_angstrom": [[3.9410, 0.0000, 0.0000], [0.0000, 6.8273, 0.1296], [0.0000, -2.3751, 6.3986]], "species": ["Y", "Y", "P", "P", "P", "P", "Ce", "Hf"], "frac_coords": [[0.5000, 0.0000, 0.5000], [0.0000, 0.5000, 0.5000], [0.0000, 0.7601, 0.2442], [0.5000, 0.2349, 0.2363], [0.5000, 0.7651, 0.7637], [0.0000, 0.2399, 0.7558], [0.5000, 0.5000, 0.0000], [0.0000, 0.0000, 0.0000]]}